Below is crystalline Pr2ZnCu3Ge4 at its relaxed geometry, with properties calculated at the PBE level.

Calculated values
As for the space-group type: P-4m2 (115). As for the calculated density: 7.46 g/cm3. The energy relative to the elements is -0.5100 eV/atom. The density of states at the Fermi level comes out at 0.236 states/eV per atom. Its crystal system is tetragonal. The energy is -4.669 eV per atom.

Lattice parameters (Å, degrees): 4.2438 4.2438 10.2356 90.00 90.00 90.00
Closest atoms and distances in Å follow each position.
Element x y z (fractional)
Pr 0.0000 0.5000 0.2496  8 Ge 3.22-3.32, 6 Cu 3.25-3.33, 2 Zn 3.33
Pr 0.5000 0.0000 0.7504  8 Ge 3.22-3.32, 6 Cu 3.25-3.33, 2 Zn 3.33
Zn 0.0000 0.0000 0.5000  4 Ge 2.55
Cu 0.0000 0.5000 0.8726  5 Ge 2.41-2.49
Cu 0.5000 0.0000 0.1274  5 Ge 2.41-2.49
Cu 0.5000 0.5000 0.5000  4 Ge 2.55
Ge 0.0000 0.0000 0.0000  4 Cu 2.49
Ge 0.0000 0.5000 0.6373  3 Cu 2.41-2.55, 2 Zn 2.55
Ge 0.5000 0.0000 0.3627  3 Cu 2.41-2.55, 2 Zn 2.55
Ge 0.5000 0.5000 0.0000  4 Cu 2.49

=====

Below is crystalline LiTaMoCl2 at its relaxed geometry, with properties calculated at the PBE level.

Calculated values
As for the space-group type: P4/mmm (123). As for the calculated density: 4.97 g/cm3. The density of states at the Fermi level comes out at 1.532 states/eV per atom. Its crystal system is tetragonal. The energy is -4.421 eV per atom.

Lattice parameters (Å, degrees): 4.6260 4.6260 5.5359 90.00 90.00 90.00
Closest atoms and distances in Å follow each position.
Element x y z (fractional)
Li 0.0000 0.0000 0.0000  2 Mo 2.77
Ta 0.5000 0.5000 0.0000  4 Li 3.27, 8 Cl 3.61
Mo 0.0000 0.0000 0.5000  4 Cl 2.31
Cl 0.0000 0.5000 0.5000  2 Mo 2.31
Cl 0.5000 0.0000 0.5000  2 Mo 2.31

=====

Below is crystalline Ac4Bi2SN2 at its relaxed geometry, with properties calculated at the PBE level.

Calculated values
As for the space-group type: C2/m (12). As for the calculated density: 8.10 g/cm3. The density of states at the Fermi level comes out at 0.143 states/eV per atom. Its crystal system is monoclinic. The energy is -6.268 eV per atom.

Lattice parameters (Å, degrees): 8.2850 8.2850 8.6056 110.98 110.98 31.19
Closest atoms and distances in Å follow each position.
Element x y z (fractional)
Ac 0.0256 0.0256 0.2826  1 N 2.37
Ac 0.2849 0.2849 0.3548  3 N 2.45-2.56
Ac 0.7151 0.7151 0.6452  3 N 2.45-2.56
Ac 0.9744 0.9744 0.7174  1 N 2.37
Bi 0.3928 0.3928 0.9602  1 Bi 3.23, 4 Ac 3.57-3.61
Bi 0.6072 0.6072 0.0398  1 Bi 3.23, 4 Ac 3.57-3.61
S 0.5000 0.5000 0.5000  6 Ac 3.03-3.19
N 0.1738 0.1738 0.4895  4 Ac 2.37-2.56
N 0.8262 0.8262 0.5105  4 Ac 2.37-2.56

=====

Below is crystalline CaPrHoAg at its relaxed geometry, with properties calculated at the PBE level.

Calculated values
As for the space-group type: P4mm (99). As for the calculated density: 6.16 g/cm3. The energy relative to the elements is -0.1350 eV/atom. The density of states at the Fermi level comes out at 1.214 states/eV per atom. Its crystal system is tetragonal. The energy is -3.688 eV per atom.

Lattice parameters (Å, degrees): 3.6206 3.6206 9.3375 90.00 90.00 90.00
Closest atoms and distances in Å follow each position.
Element x y z (fractional)
Ca 0.0000 0.0000 0.0000  4 Ag 3.25, 4 Ca 3.62
Pr 0.5000 0.5000 0.3261  4 Ho 3.62, 4 Pr 3.62, 4 Ca 3.98
Ho 0.0000 0.0000 0.5995  4 Ag 3.09
Ag 0.5000 0.5000 0.7849  4 Ho 3.09, 4 Ca 3.25

=====

Below is crystalline Ba6SbAu5 at its relaxed geometry, with properties calculated at the PBE level.

Calculated values
As for the space-group type: Immm (71). As for the calculated density: 7.84 g/cm3. The density of states at the Fermi level comes out at 0.772 states/eV per atom. Its crystal system is orthorhombic. The energy is -3.418 eV per atom.

Lattice parameters (Å, degrees): 10.0310 10.0310 10.0310 146.61 132.06 59.68
Closest atoms and distances in Å follow each position.
Element x y z (fractional)
Ba 0.0805 0.3318 0.7487  7 Au 3.49-3.56, 1 Sb 3.57
Ba 0.2462 0.0000 0.2462  6 Au 3.51-3.59, 2 Sb 3.55
Ba 0.4169 0.6682 0.7487  7 Au 3.49-3.56, 1 Sb 3.57
Ba 0.5831 0.3318 0.2513  7 Au 3.49-3.56, 1 Sb 3.57
Ba 0.7538 0.0000 0.7538  6 Au 3.51-3.59, 2 Sb 3.55
Ba 0.9195 0.6682 0.2513  7 Au 3.49-3.56, 1 Sb 3.57
Sb 0.5000 0.5000 0.0000  8 Ba 3.55-3.57
Au 0.0000 0.5000 0.5000  8 Ba 3.51-3.56
Au 0.1682 0.1682 0.0000  8 Ba 3.51-3.55
Au 0.3316 0.8316 0.5000  8 Ba 3.49-3.59
Au 0.6684 0.1684 0.5000  8 Ba 3.49-3.59
Au 0.8318 0.8318 0.0000  8 Ba 3.51-3.55

=====

Below is crystalline Tb3PuHg12 at its relaxed geometry, with properties calculated at the PBE level.

Calculated values
As for the space-group type: P4/mmm (123). As for the calculated density: 13.03 g/cm3. The energy relative to the elements is -0.2593 eV/atom. The density of states at the Fermi level comes out at 1.553 states/eV per atom. Its crystal system is tetragonal. The energy is -2.250 eV per atom.

Lattice parameters (Å, degrees): 4.5901 4.5901 18.9214 90.00 90.00 90.00
Closest atoms and distances in Å follow each position.
Element x y z (fractional)
Tb 0.0000 0.0000 0.0000  12 Hg 3.25-3.28
Tb 0.0000 0.0000 0.2480  12 Hg 3.25-3.29
Tb 0.0000 0.0000 0.7520  12 Hg 3.25-3.29
Pu 0.0000 0.0000 0.5000  12 Hg 3.25-3.34
Hg 0.0000 0.5000 0.1238  8 Hg 3.25-3.28, 4 Tb 3.28-3.29
Hg 0.0000 0.5000 0.3720  8 Hg 3.25-3.34, 2 Tb 3.28, 2 Pu 3.34
Hg 0.0000 0.5000 0.6280  8 Hg 3.25-3.34, 2 Tb 3.28, 2 Pu 3.34
Hg 0.0000 0.5000 0.8762  8 Hg 3.25-3.28, 4 Tb 3.28-3.29
Hg 0.5000 0.0000 0.1238  8 Hg 3.25-3.28, 4 Tb 3.28-3.29
Hg 0.5000 0.0000 0.3720  8 Hg 3.25-3.34, 2 Tb 3.28, 2 Pu 3.34
Hg 0.5000 0.0000 0.6280  8 Hg 3.25-3.34, 2 Tb 3.28, 2 Pu 3.34
Hg 0.5000 0.0000 0.8762  8 Hg 3.25-3.28, 4 Tb 3.28-3.29
Hg 0.5000 0.5000 0.0000  4 Tb 3.25, 8 Hg 3.28
Hg 0.5000 0.5000 0.2470  4 Tb 3.25, 8 Hg 3.27-3.30
Hg 0.5000 0.5000 0.5000  4 Pu 3.25, 8 Hg 3.34
Hg 0.5000 0.5000 0.7530  4 Tb 3.25, 8 Hg 3.27-3.30

=====

Below is crystalline Ba2AsAuO at its relaxed geometry, with properties calculated at the PBE level.

Calculated values
As for the space-group type: P2_1/m (11). As for the calculated density: 6.75 g/cm3. Its crystal system is monoclinic. The energy is -4.739 eV per atom.

Lattice parameters (Å, degrees): 7.2465 4.4029 9.1231 90.00 108.01 90.00
Closest atoms and distances in Å follow each position.
Element x y z (fractional)
Ba 0.1969 0.2500 0.3706  2 O 2.85
Ba 0.2234 0.2500 0.9791  1 O 2.53
Ba 0.7766 0.7500 0.0209  1 O 2.53
Ba 0.8031 0.7500 0.6294  2 O 2.85
As 0.3122 0.7500 0.6955  2 Au 2.52
As 0.6878 0.2500 0.3045  2 Au 2.52
Au 0.4901 0.2500 0.7376  2 As 2.52, 1 O 2.57
Au 0.5099 0.7500 0.2624  2 As 2.52, 1 O 2.57
O 0.1371 0.7500 0.1624  1 Ba 2.53, 1 Au 2.57
O 0.8629 0.2500 0.8376  1 Ba 2.53, 1 Au 2.57

=====

Below is crystalline Sc2SbP at its relaxed geometry, with properties calculated at the PBE level.

Calculated values
As for the space-group type: R3m (160). As for the calculated density: 4.59 g/cm3. The density of states at the Fermi level comes out at 0.532 states/eV per atom. Its crystal system is trigonal. The energy is -6.665 eV per atom.

Lattice parameters (Å, degrees): 7.2856 7.2856 7.2856 30.42 30.42 30.42
Closest atoms and distances in Å follow each position.
Element x y z (fractional)
Sc 0.0000 0.0000 0.0000  3 P 2.68, 3 Sb 2.99
Sc 0.1927 0.1927 0.1927  3 P 2.62
Sb 0.7637 0.7637 0.7637  6 Sc 2.97-2.99
P 0.5941 0.5941 0.5941  6 Sc 2.62-2.68

=====

Below is crystalline ReSN2Cl at its relaxed geometry, with properties calculated at the PBE level.

Calculated values
As for the space-group type: P4/mmm (123). As for the calculated density: 6.28 g/cm3. As for the energy above the lowest structure with this stoichiometry: 0.0 meV per atom. The density of states at the Fermi level comes out at 0.578 states/eV per atom. Its crystal system is tetragonal. The energy is -6.406 eV per atom.

Lattice parameters (Å, degrees): 3.8200 3.8200 5.1032 90.00 90.00 90.00
Closest atoms and distances in Å follow each position.
Element x y z (fractional)
Re 0.0000 0.0000 0.0000  4 N 1.91
S 0.0000 0.0000 0.5000  2 Re 2.55, 4 Cl 2.70
N 0.0000 0.5000 0.0000  2 Re 1.91
N 0.5000 0.0000 0.0000  2 Re 1.91
Cl 0.5000 0.5000 0.5000  4 S 2.70

=====

Below is crystalline YSiMo2 at its relaxed geometry, with properties calculated at the PBE level.

Calculated values
As for the space-group type: Imm2 (44). As for the calculated density: 7.14 g/cm3. The density of states at the Fermi level comes out at 0.727 states/eV per atom. Its crystal system is orthorhombic. The energy is -8.271 eV per atom.

Lattice parameters (Å, degrees): 5.3912 5.3912 5.3912 143.39 128.82 64.55
Closest atoms and distances in Å follow each position.
Element x y z (fractional)
Y 0.0000 0.0000 0.0000  8 Mo 2.88-3.15, 4 Si 3.06-3.08
Si 0.2789 0.7789 0.5000  6 Mo 2.75-2.91, 2 Y 3.06
Mo 0.5164 0.5164 0.0000  2 Mo 2.60, 2 Si 2.75, 4 Y 2.88
Mo 0.7334 0.2334 0.5000  2 Mo 2.60, 4 Si 2.91

=====

Below is crystalline Tb4ErSc at its relaxed geometry, with properties calculated at the PBE level.

Calculated values
As for the space-group type: Cmmm (65). As for the calculated density: 7.73 g/cm3. The energy relative to the elements is 0.0326 eV/atom. As for the energy above the lowest structure with this stoichiometry: 0.0 meV per atom. The density of states at the Fermi level comes out at 1.397 states/eV per atom. Its crystal system is orthorhombic. The energy is -4.870 eV per atom.

Lattice parameters (Å, degrees): 7.8317 7.8317 4.9494 90.00 90.00 143.11
Closest atoms and distances in Å follow each position.
Element x y z (fractional)
Tb 0.1639 0.8361 0.0000  2 Er 3.47, 2 Sc 3.47, 8 Tb 3.50-3.56
Tb 0.3356 0.6644 0.5000  2 Sc 3.48, 2 Er 3.48, 8 Tb 3.50-3.55
Tb 0.6644 0.3356 0.5000  2 Sc 3.48, 2 Er 3.48, 8 Tb 3.50-3.55
Tb 0.8361 0.1639 0.0000  2 Er 3.47, 2 Sc 3.47, 8 Tb 3.50-3.56
Er 0.0000 0.0000 0.5000  8 Tb 3.47-3.48, 4 Sc 3.50
Sc 0.5000 0.5000 0.0000  8 Tb 3.47-3.48, 4 Er 3.50

=====

Below is crystalline NpPaAlO6 at its relaxed geometry, with properties calculated at the PBE level.

Calculated values
As for the space-group type: P-31c (163). As for the calculated density: 8.18 g/cm3. The density of states at the Fermi level comes out at 1.388 states/eV per atom. Its crystal system is trigonal. The energy is -9.310 eV per atom.

Lattice parameters (Å, degrees): 5.3725 5.3725 9.6020 90.00 90.00 120.00
Closest atoms and distances in Å follow each position.
Element x y z (fractional)
Np 0.0000 0.0000 0.0000  6 O 2.28
Np 0.0000 0.0000 0.5000  6 O 2.28
Pa 0.3333 0.6667 0.2500  6 O 2.19
Pa 0.6667 0.3333 0.7500  6 O 2.19
Al 0.3333 0.6667 0.7500  6 O 1.95
Al 0.6667 0.3333 0.2500  6 O 1.95
O 0.0335 0.3617 0.6368  1 Al 1.95, 1 Pa 2.19
O 0.0335 0.6718 0.8632  1 Al 1.95, 1 Pa 2.19
O 0.3282 0.3617 0.8632  1 Al 1.95, 1 Pa 2.19
O 0.3282 0.9665 0.6368  1 Al 1.95, 1 Pa 2.19
O 0.3617 0.0335 0.1368  1 Al 1.95, 1 Pa 2.19
O 0.3617 0.3282 0.3632  1 Al 1.95, 1 Pa 2.19
O 0.6383 0.6718 0.6368  1 Al 1.95, 1 Pa 2.19
O 0.6383 0.9665 0.8632  1 Al 1.95, 1 Pa 2.19
O 0.6718 0.0335 0.3632  1 Al 1.95, 1 Pa 2.19
O 0.6718 0.6383 0.1368  1 Al 1.95, 1 Pa 2.19
O 0.9665 0.3282 0.1368  1 Al 1.95, 1 Pa 2.19
O 0.9665 0.6383 0.3632  1 Al 1.95, 1 Pa 2.19